## w
# NaSr2Ga2 (PBE, relaxed)
# DOS at the Fermi energy (states/eV/cell): 6.3
data_NaSr2Ga2
_space_group_name_H-M_alt 'C m m m'
_space_group_IT_number 65
_space_group_name_Hall '-C 2 2'
_cell_length_a 4.411
_cell_length_b 16.204
_cell_length_c 4.717
_cell_angle_alpha 90.00
_cell_angle_beta 90.00
_cell_angle_gamma 90.00
loop_
_atom_site_label
_atom_site_type_symbol
_atom_site_fract_x
_atom_site_fract_y
_atom_site_fract_z
_atom_site_occupancy
Na1 Na 0.000 0.000 0.000 1
Sr1 Sr 0.000 0.355 0.500 1
Ga1 Ga 0.000 0.208 0.000 1



## x
# NaSr2Ga2 (PBE, relaxed)
# DOS at the Fermi energy (states/eV/cell): 4.5
data_NaSr2Ga2
_space_group_name_H-M_alt 'P 4/m b m'
_space_group_IT_number 127
_space_group_name_Hall '-P 4 2ab'
_cell_length_a 9.237
_cell_length_b 9.237
_cell_length_c 3.790
_cell_angle_alpha 90.00
_cell_angle_beta 90.00
_cell_angle_gamma 90.00
loop_
_atom_site_label
_atom_site_type_symbol
_atom_site_fract_x
_atom_site_fract_y
_atom_site_fract_z
_atom_site_occupancy
Na1 Na 0.000 0.000 0.000 1
Sr1 Sr 0.153 0.347 0.000 1
Ga1 Ga 0.141 0.641 0.500 1



Which structure is the least stable? The one labeled x.



## w
# Na3SrGa (PBE, relaxed)
# DOS at the Fermi energy (states/eV/cell): 4.8
data_Na3SrGa
_space_group_name_H-M_alt 'P m -3 m'
_space_group_IT_number 221
_space_group_name_Hall '-P 4 2 3'
_cell_length_a 6.656
_cell_length_b 6.656
_cell_length_c 6.656
_cell_angle_alpha 90.00
_cell_angle_beta 90.00
_cell_angle_gamma 90.00
loop_
_atom_site_label
_atom_site_type_symbol
_atom_site_fract_x
_atom_site_fract_y
_atom_site_fract_z
_atom_site_occupancy
Na1 Na 0.000 0.000 0.500 1
Sr1 Sr 0.000 0.000 0.000 1
Ga1 Ga 0.500 0.500 0.500 1



## x
# Na3SrGa (PBE, relaxed)
# DOS at the Fermi energy (states/eV/cell): 4.4
data_Na3SrGa
_space_group_name_H-M_alt 'P m -3 m'
_space_group_IT_number 221
_space_group_name_Hall '-P 4 2 3'
_cell_length_a 5.748
_cell_length_b 5.748
_cell_length_c 5.748
_cell_angle_alpha 90.00
_cell_angle_beta 90.00
_cell_angle_gamma 90.00
loop_
_atom_site_label
_atom_site_type_symbol
_atom_site_fract_x
_atom_site_fract_y
_atom_site_fract_z
_atom_site_occupancy
Na1 Na 0.000 0.000 0.500 1
Sr1 Sr 0.500 0.500 0.500 1
Ga1 Ga 0.000 0.000 0.000 1



Which structure is the least stable? The one labeled w.



## w
# NaSr4Ga (PBE, relaxed)
# DOS at the Fermi energy (states/eV/cell): 13.2
data_NaSr4Ga
_space_group_name_H-M_alt 'P 1 21/c 1'
_space_group_IT_number 14
_cell_length_a 8.469
_cell_length_b 8.232
_cell_length_c 8.398
_cell_angle_alpha 90.00
_cell_angle_beta 95.88
_cell_angle_gamma 90.00
loop_
_space_group_symop_operation_xyz
'x,y,z'
'-x,-y,-z'
'-x,y+1/2,-z+1/2'
'x,-y+1/2,z+1/2'
loop_
_atom_site_label
_atom_site_type_symbol
_atom_site_fract_x
_atom_site_fract_y
_atom_site_fract_z
_atom_site_occupancy
Na1 Na 0.000 0.000 0.000 1
Sr1 Sr 0.172 0.138 0.387 1
Sr2 Sr 0.373 0.671 0.309 1
Ga1 Ga 0.500 0.000 0.500 1



## x
# NaSr4Ga (PBE, relaxed)
# DOS at the Fermi energy (states/eV/cell): 21.1
data_NaSr4Ga
_space_group_name_H-M_alt 'C 1 2/c 1'
_space_group_IT_number 15
_cell_length_a 10.298
_cell_length_b 15.057
_cell_length_c 7.299
_cell_angle_alpha 90.00
_cell_angle_beta 109.16
_cell_angle_gamma 90.00
loop_
_space_group_symop_operation_xyz
'x,y,z'
'-x,-y,-z'
'-x,y,-z+1/2'
'x,-y,z+1/2'
'x+1/2,y+1/2,z'
'-x+1/2,-y+1/2,-z'
'-x+1/2,y+1/2,-z+1/2'
'x+1/2,-y+1/2,z+1/2'
loop_
_atom_site_label
_atom_site_type_symbol
_atom_site_fract_x
_atom_site_fract_y
_atom_site_fract_z
_atom_site_occupancy
Na1 Na 0.000 0.123 0.250 1
Sr1 Sr 0.103 0.333 0.553 1
Sr2 Sr 0.228 0.082 0.877 1
Ga1 Ga 0.000 0.498 0.250 1



Which structure is the least stable? The one labeled w.